[1]
## CsGeTeF2 (GGA-PBEsol)

Data for a relaxed CsGeTeF2 crystal.

Unit cell a=4.9738 b=4.9738 c=5.0834 alpha=90.00 beta=90.00 gamma=90.00
Last column: nearest neighbours and their distance in Å.
Fractional coordinates of all 5 atoms:
1 F 0.0000 0.5000 0.0000  2 Te 2.49
2 Te 0.0000 0.0000 0.0000  4 F 2.49, 2 Ge 2.54
3 F 0.5000 0.0000 0.0000  2 Te 2.49
4 Ge 0.0000 0.0000 0.5000  2 Te 2.54
5 Cs 0.5000 0.5000 0.5000  4 Ge 3.52, 8 F 3.56

Volume (Å³/cell): 125.8
Calculated total energy (eV per atom): -3.585
Formation energy without anion corrections (meV/atom): -932.0

=====

[2]
## Li2InRh (GGA-PBEsol)

Data for a relaxed Li2InRh crystal.

Unit cell a=3.1052 b=4.4016 c=5.2448 alpha=114.65 beta=107.22 gamma=90.00
Last column: nearest neighbours and their distance in Å.
Fractional coordinates of all 4 atoms:
1 In 0.0000 0.5000 0.0000  4 Rh 2.69, 4 Li 2.88
2 Li 0.2312 0.2311 0.4625  2 Rh 2.60, 4 Li 2.71-2.72, 2 In 2.88
3 Rh 0.5000 0.0000 0.0000  4 Li 2.60, 4 In 2.69
4 Li 0.7688 0.7689 0.5375  2 Rh 2.60, 4 Li 2.71-2.72, 2 In 2.88

Volume (Å³/cell): 61.6
Formation energy from the elements (meV per atom): -323
Calculated total energy (eV per atom): -4.087

=====

[3]
## LaRe (GGA-PBEsol)

Data for a relaxed LaRe crystal.

Unit cell a=2.9898 b=2.9898 c=10.7646 alpha=90.00 beta=90.00 gamma=120.00
Last column: nearest neighbours and their distance in Å.
Fractional coordinates of all 4 atoms:
1 Re 0.6667 0.3333 0.5888  3 Re 2.58
2 La 0.3333 0.6667 0.8427  6 La 2.99, 3 Re 3.23
3 La 0.6667 0.3333 0.1573  6 La 2.99, 3 Re 3.23
4 Re 0.3333 0.6667 0.4112  3 Re 2.58

Volume (Å³/cell): 83.3
Polymorph energy (0 for the lowest one) (eV/atom): 0.009
Formation energy from the elements (meV per atom): 610
Calculated total energy (eV per atom): -8.730

=====

[4]
## Cd2AgRh (GGA-PBEsol)

Data for a relaxed Cd2AgRh crystal.

Unit cell a=4.0394 b=4.0394 c=5.0147 alpha=113.75 beta=113.75 gamma=90.00
Last column: nearest neighbours and their distance in Å.
Fractional coordinates of all 4 atoms:
1 Cd 0.0000 0.0000 0.0000  4 Rh 2.86, 4 Cd 2.89, 4 Ag 2.89
2 Cd 0.7500 0.2500 0.5000  4 Ag 2.86, 4 Cd 2.89, 4 Rh 2.89
3 Rh 0.5000 0.5000 0.0000  8 Cd 2.86-2.89, 4 Ag 2.89
4 Ag 0.2500 0.7500 0.5000  8 Cd 2.86-2.89, 4 Rh 2.89

Volume (Å³/cell): 67.3
Polymorph energy (0 for the lowest one) (eV/atom): 0.077
Formation energy from the elements (meV per atom): -36
Calculated total energy (eV per atom): -3.497

=====

[5]
## TcGeH2 (GGA-PBEsol)

Data for a relaxed TcGeH2 crystal.

Unit cell a=3.6838 b=3.6838 c=3.6838 alpha=60.00 beta=60.00 gamma=60.00
Last column: nearest neighbours and their distance in Å.
Fractional coordinates of all 4 atoms:
1 H 0.7500 0.7500 0.7500  4 Tc 2.26, 4 Ge 2.26
2 Tc 0.5000 0.5000 0.5000  8 H 2.26
3 H 0.2500 0.2500 0.2500  4 Ge 2.26, 4 Tc 2.26
4 Ge 0.0000 0.0000 0.0000  8 H 2.26

Volume (Å³/cell): 35.3
Calculated total energy (eV per atom): -4.893

=====

[6]
## Hf2ReTePd (GGA-PBEsol)

Data for a relaxed Hf2ReTePd crystal.

Unit cell a=4.8416 b=4.9479 c=4.9479 alpha=90.00 beta=90.00 gamma=90.00
Last column: nearest neighbours and their distance in Å.
Fractional coordinates of all 5 atoms:
1 Re 0.0000 0.0000 0.0000  2 Pd 2.42, 4 Hf 2.47
2 Hf 0.0000 0.5000 0.0000  2 Re 2.47
3 Te 0.5000 0.5000 0.5000  8 Hf 3.46, 4 Pd 3.50
4 Pd 0.5000 0.0000 0.0000  2 Re 2.42
5 Hf 0.0000 0.0000 0.5000  2 Re 2.47

Volume (Å³/cell): 118.5
Calculated total energy (eV per atom): -8.084
Formation energy without anion corrections (meV/atom): 680.3

=====

[7]
## YSiNi (GGA-PBEsol)

Data for a relaxed YSiNi crystal.

Unit cell a=4.1187 b=6.7943 c=7.0706 alpha=90.00 beta=90.00 gamma=90.00
Last column: nearest neighbours and their distance in Å.
Fractional coordinates of all 12 atoms:
1 Ni 0.7500 0.8138 0.9172  4 Si 2.39-2.55
2 Si 0.7500 0.6888 0.5882  4 Ni 2.39-2.55
3 Si 0.2500 0.3112 0.4118  4 Ni 2.39-2.55
4 Y 0.2500 0.4904 0.8005  6 Ni 2.84-3.12, 6 Si 2.88-3.01
5 Ni 0.2500 0.1862 0.0828  4 Si 2.39-2.55
6 Ni 0.7500 0.3138 0.5828  4 Si 2.39-2.55
7 Si 0.2500 0.8112 0.0882  4 Ni 2.39-2.55
8 Ni 0.2500 0.6862 0.4172  4 Si 2.39-2.55
9 Y 0.2500 0.9904 0.6995  6 Ni 2.84-3.12, 6 Si 2.88-3.01
10 Si 0.7500 0.1888 0.9118  4 Ni 2.39-2.55
11 Y 0.7500 0.0096 0.3005  6 Ni 2.84-3.12, 6 Si 2.88-3.01
12 Y 0.7500 0.5096 0.1995  6 Ni 2.84-3.12, 6 Si 2.88-3.01

Volume (Å³/cell): 197.9
Calculated total energy (eV per atom): -7.120
Formation energy without anion corrections (meV/atom): -877.9

=====

[8]
## Sc2CoNi (GGA-PBEsol)

Data for a relaxed Sc2CoNi crystal.

Unit cell a=3.5332 b=3.7041 c=5.1488 alpha=90.00 beta=110.07 gamma=90.00
Last column: nearest neighbours and their distance in Å.
Fractional coordinates of all 4 atoms:
1 Sc 0.9807 0.5000 0.9614  4 Co 2.65, 3 Ni 2.73-2.75
2 Ni 0.6982 0.5000 0.3964  2 Co 2.34
3 Co 0.5501 0.0000 0.1002  2 Ni 2.34
4 Sc 0.2710 0.0000 0.5421  4 Ni 2.65, 3 Co 2.70-2.77

Volume (Å³/cell): 63.3
Formation energy from the elements (meV per atom): -357
Calculated total energy (eV per atom): -7.133